Record 1
Rh2C: optimized geometry, GGA-PBE.

Size of the total moment in μB/atom: 0.00
V in A^3/atom: 12.42
Energy of formation in meV/atom: 474
Relative energy among the computed polymorphs in eV per atom: 0.282

Cell: 10.7479 2.9169 5.5457 Å, 90.00 120.97 90.00°
With the nearest neighbours (Å) after each atom.
Space group C2/m (No. 12)
Asymmetric unit:
Rh (0.0049, 0.0000, 0.2607) x4  2 C 1.97
Rh (0.2370, 0.5000, 0.7412) x4  3 C 2.08
C (0.1382, 0.5000, 0.3052) x4  5 Rh 1.97-2.08

=====

Record 2
KGaBr2: optimized geometry, GGA-PBE.

Formation energy without anion corrections in eV/atom: -1.057
Size of the total moment in μB/atom: 0.00
V in A^3/atom: 47.15
Relative energy among the computed polymorphs in eV per atom: 0.082

Cell: 7.1456 7.1456 14.7759 Å, 90.00 90.00 90.00°
With the nearest neighbours (Å) after each atom.
Space group I-42d (No. 122)
Asymmetric unit:
K (0.0000, 0.0000, 0.0000) x4  4 Br 3.23
Ga (0.0000, 0.0000, 0.5000) x4  4 Br 3.04
Br (0.2264, 0.2500, 0.6250) x8  2 Ga 3.04, 2 K 3.23

=====

Record 3
ScTl2Br: optimized geometry, GGA-PBE.

Formation energy without anion corrections in eV/atom: -0.116
Size of the total moment in μB/atom: 0.05
V in A^3/atom: 27.34
Relative energy among the computed polymorphs in eV per atom: 0.444

Cell: 3.8163 3.8163 7.5097 Å, 90.00 90.00 90.00°
With the nearest neighbours (Å) after each atom.
Space group P4/mmm (No. 123)
Asymmetric unit:
Sc (0.0000, 0.0000, 0.0000) x1  8 Tl 3.17
Tl (0.5000, 0.5000, 0.2213) x2  4 Sc 3.17, 1 Tl 3.32, 4 Br 3.42
Br (0.0000, 0.0000, 0.5000) x1  8 Tl 3.42, 2 Sc 3.75, 4 Br 3.82

=====

Record 4
Nd2YCu: optimized geometry, GGA-PBE.

Size of the total moment in μB/atom: 0.00
V in A^3/atom: 28.51
Energy of formation in meV/atom: -39
Relative energy among the computed polymorphs in eV per atom: 0.033

Cell: 4.9463 7.8891 6.3456 Å, 90.00 112.91 90.00°
With the nearest neighbours (Å) after each atom.
Space group P2_1/m (No. 11)
Asymmetric unit:
Nd (0.1443, 0.0323, 0.2891) x4  3 Cu 2.84-3.10
Y (0.4551, 0.2500, 0.9101) x2  1 Cu 2.92
Cu (0.2961, 0.7500, 0.5901) x2  6 Nd 2.84-3.10, 1 Y 2.92

=====

What did the third record say?
ScTl2Br: optimized geometry, GGA-PBE.

Formation energy without anion corrections in eV/atom: -0.116
Size of the total moment in μB/atom: 0.05
V in A^3/atom: 27.34
Relative energy among the computed polymorphs in eV per atom: 0.444

Cell: 3.8163 3.8163 7.5097 Å, 90.00 90.00 90.00°
With the nearest neighbours (Å) after each atom.
Space group P4/mmm (No. 123)
Asymmetric unit:
Sc (0.0000, 0.0000, 0.0000) x1  8 Tl 3.17
Tl (0.5000, 0.5000, 0.2213) x2  4 Sc 3.17, 1 Tl 3.32, 4 Br 3.42
Br (0.0000, 0.0000, 0.5000) x1  8 Tl 3.42, 2 Sc 3.75, 4 Br 3.82

=====

The lowest relative energy among the computed polymorphs belongs to which entry?
Nd2YCu